(1)
# LaTb2Zn4

A geometry-optimized LaTb2Zn4 structure (GGA-PBE, Alexandria via LeMat-Bulk).

Cell lengths 5.045, 5.045, 14.230 Å; angles 90.00, 90.00, 90.00 degrees
Space group I4/mmm (No. 139)
One atom of each set of equivalent atoms:
La  0.000  0.000  0.000 x2
Tb  0.000  0.000  0.261 x4
Zn  0.000  0.500  0.127 x8

Properties
- calculated formation energy (eV/atom) = -0.119
- crystal system = tetragonal

---

(2)
# CaBeSbTe2

A geometry-optimized CaBeSbTe2 structure (GGA-PBE, Alexandria via LeMat-Bulk).

Cell lengths 5.773, 5.773, 5.827 Å; angles 90.00, 90.00, 90.00 degrees
Space group P4/mmm (No. 123)
One atom of each set of equivalent atoms:
Ca  0.000  0.000  0.000 x1
Be  0.500  0.500  0.500 x1
Sb  0.000  0.000  0.500 x1
Te  0.000  0.500  0.000 x2

Properties
- calculated total energy (eV per atom) = -2.393
- crystal system = tetragonal

---

(3)
# Pm2AgSbO6

A geometry-optimized Pm2AgSbO6 structure (GGA-PBE, Alexandria via LeMat-Bulk).

Cell lengths 5.8729, 5.8729, 15.6683 Å; angles 90.00, 90.00, 120.00 degrees
Space group R3 (No. 146, hexagonal axes)
One atom of each set of equivalent atoms:
Pm  0.0000  0.0000  0.0000 x3
Pm  0.0000  0.0000  0.4861 x3
Ag  0.0000  0.0000  0.2568 x3
Sb  0.0000  0.0000  0.6924 x3
O  0.0125  0.3024  0.7553 x9
O  0.0210  0.7462  0.6060 x9

Properties
- calculated total energy (eV per atom) = -6.856
- crystal system = trigonal

---

(4)
# MgGaGe3

A geometry-optimized MgGaGe3 structure (GGA-PBE, Alexandria via LeMat-Bulk).

Cell lengths 4.959, 4.959, 4.959 Å; angles 90.00, 90.00, 90.00 degrees
Space group Pm-3m (No. 221)
One atom of each set of equivalent atoms:
Mg  0.000  0.000  0.000 x1
Ga  0.500  0.500  0.500 x1
Ge  0.000  0.500  0.500 x3

Properties
- calculated formation energy (eV/atom) = 0.532
- crystal system = cubic

---

(5)
# BaSi4Pb

A geometry-optimized BaSi4Pb structure (GGA-PBE, Alexandria via LeMat-Bulk).

Cell lengths 8.287, 8.287, 8.287 Å; angles 90.00, 90.00, 90.00 degrees
Space group F-43m (No. 216)
One atom of each set of equivalent atoms:
Ba  0.000  0.000  0.000 x4
Si  0.107  0.107  0.393 x16
Pb  0.250  0.250  0.750 x4

Properties
- calculated total energy (eV per atom) = -4.400
- crystal system = cubic

---

(6)
# ZrPa2IrN5

A geometry-optimized ZrPa2IrN5 structure (GGA-PBE, Alexandria via LeMat-Bulk).

Cell lengths 3.357, 13.067, 10.393 Å; angles 90.00, 90.00, 90.00 degrees
Space group Cmc2_1 (No. 36)
One atom of each set of equivalent atoms:
Zr  0.000  0.201  0.000 x4
Pa  0.000  0.105  0.676 x4
Pa  0.000  0.144  0.295 x4
Ir  0.000  0.474  0.442 x4
N  0.000  0.049  0.072 x4
N  0.000  0.278  0.655 x4
N  0.000  0.321  0.353 x4
N  0.000  0.368  0.985 x4
N  0.000  0.485  0.757 x4

Properties
- calculated total energy (eV per atom) = -9.811
- crystal system = orthorhombic

---

(7)
# K3LiBi

A geometry-optimized K3LiBi structure (GGA-PBE, Alexandria via LeMat-Bulk).

Cell lengths 6.893, 6.893, 6.893 Å; angles 90.00, 90.00, 90.00 degrees
Space group Pm-3m (No. 221)
One atom of each set of equivalent atoms:
K  0.000  0.000  0.500 x3
Li  0.500  0.500  0.500 x1
Bi  0.000  0.000  0.000 x1

Properties
- calculated formation energy (eV/atom) = 0.023
- crystal system = cubic

---

(8)
# NbVMoOs

A geometry-optimized NbVMoOs structure (GGA-PBE, Alexandria via LeMat-Bulk).

Cell lengths 6.264, 6.264, 6.264 Å; angles 90.00, 90.00, 90.00 degrees
Space group F-43m (No. 216)
One atom of each set of equivalent atoms:
Nb  0.000  0.000  0.000 x4
V  0.000  0.000  0.500 x4
Mo  0.250  0.250  0.250 x4
Os  0.250  0.250  0.750 x4

Properties
- calculated formation energy (eV/atom) = -0.243
- crystal system = cubic

---

(9)
# ErLuZnCd

A geometry-optimized ErLuZnCd structure (GGA-PBE, Alexandria via LeMat-Bulk).

Cell lengths 7.221, 7.221, 7.221 Å; angles 90.00, 90.00, 90.00 degrees
Space group F-43m (No. 216)
One atom of each set of equivalent atoms:
Er  0.000  0.000  0.000 x4
Lu  0.000  0.000  0.500 x4
Zn  0.250  0.250  0.250 x4
Cd  0.250  0.250  0.750 x4

Properties
- calculated formation energy (eV/atom) = -0.312
- crystal system = cubic

---

(10)
# La8Sm3

A geometry-optimized La8Sm3 structure (GGA-PBE, Alexandria via LeMat-Bulk).

Cell lengths 9.9657, 9.9657, 14.0408 Å; angles 90.00, 90.00, 120.00 degrees
Space group R-3 (No. 148, hexagonal axes)
One atom of each set of equivalent atoms:
La  0.0000  0.0000  0.1124 x6
La  0.0310  0.2260  0.6163 x18
Sm  0.0000  0.5000  0.5000 x9

Properties
- calculated formation energy (eV/atom) = 0.371
- crystal system = trigonal

---

(11)
# SrI2N

A geometry-optimized SrI2N structure (GGA-PBE, Alexandria via LeMat-Bulk).

Cell lengths 6.077, 6.077, 15.281 Å; angles 90.00, 90.00, 90.00 degrees
Space group I-42d (No. 122)
One atom of each set of equivalent atoms:
Sr  0.000  0.000  0.000 x4
I  0.150  0.250  0.625 x8
N  0.000  0.000  0.500 x4

Properties
- calculated total energy (eV per atom) = -2.918
- crystal system = tetragonal

---

(12)
# ZrCu2Pd5

A geometry-optimized ZrCu2Pd5 structure (GGA-PBE, Alexandria via LeMat-Bulk).

Cell lengths 6.721, 6.721, 11.072 Å; angles 90.00, 90.00, 90.00 degrees
Space group I4/mcm (No. 140)
One atom of each set of equivalent atoms:
Zr  0.000  0.000  0.250 x4
Cu  0.141  0.359  0.000 x8
Pd  0.000  0.000  0.000 x4
Pd  0.150  0.350  0.344 x16

Properties
- calculated formation energy (eV/atom) = -0.318
- crystal system = tetragonal

---

What is the formula in the fourth record?
MgGaGe3